Record 1
# LiAc5Pm4 | the Alexandria database | PBE | optimized geometry
data_LiAc5Pm4
_space_group_name_H-M_alt 'P 1'
_space_group_IT_number 1
_cell_length_a 3.878
_cell_length_b 3.878
_cell_length_c 25.484
_cell_angle_alpha 90.00
_cell_angle_beta 90.00
_cell_angle_gamma 90.00
loop_
_space_group_symop_operation_xyz
'x,y,z'
loop_
_atom_site_label
_atom_site_type_symbol
_atom_site_fract_x
_atom_site_fract_y
_atom_site_fract_z
Li1 Li 0.000 0.000 0.000
Ac1 Ac 0.500 0.500 0.087
Ac2 Ac 0.500 0.500 0.293
Ac3 Ac 0.500 0.500 0.500
Ac4 Ac 0.500 0.500 0.707
Ac5 Ac 0.500 0.500 0.913
Pm1 Pm 0.000 0.000 0.190
Pm2 Pm 0.000 0.000 0.397
Pm3 Pm 0.000 0.000 0.603
Pm4 Pm 0.000 0.000 0.810
# energy relative to the elements = 0.04 eV/atom

Record 2
# LiLuInCo | the Alexandria database | PBE | optimized geometry
data_LiLuInCo
_space_group_name_H-M_alt 'P 1'
_space_group_IT_number 1
_cell_length_a 4.615
_cell_length_b 4.615
_cell_length_c 4.615
_cell_angle_alpha 60.00
_cell_angle_beta 60.00
_cell_angle_gamma 60.00
loop_
_space_group_symop_operation_xyz
'x,y,z'
loop_
_atom_site_label
_atom_site_type_symbol
_atom_site_fract_x
_atom_site_fract_y
_atom_site_fract_z
Li1 Li 0.000 0.000 0.000
Lu1 Lu 0.250 0.250 0.250
In1 In 0.750 0.750 0.750
Co1 Co 0.500 0.500 0.500
# energy relative to the elements = -0.21 eV/atom

Record 3
# Zr2ScMoRu | the Alexandria database | PBE | optimized geometry
data_Zr2ScMoRu
_space_group_name_H-M_alt 'P 1'
_space_group_IT_number 1
_cell_length_a 4.996
_cell_length_b 4.996
_cell_length_c 4.282
_cell_angle_alpha 90.00
_cell_angle_beta 90.00
_cell_angle_gamma 90.00
loop_
_space_group_symop_operation_xyz
'x,y,z'
loop_
_atom_site_label
_atom_site_type_symbol
_atom_site_fract_x
_atom_site_fract_y
_atom_site_fract_z
Zr1 Zr 0.000 0.500 0.000
Zr2 Zr 0.500 0.000 0.000
Sc1 Sc 0.000 0.000 0.000
Mo1 Mo 0.000 0.000 0.500
Ru1 Ru 0.500 0.500 0.500
# energy relative to the elements = 1.58 eV/atom

Record 4
# Pm2HoGa2 | the Alexandria database | PBE | optimized geometry
data_Pm2HoGa2
_space_group_name_H-M_alt 'P 1'
_space_group_IT_number 1
_cell_length_a 5.946
_cell_length_b 3.966
_cell_length_c 11.951
_cell_angle_alpha 90.00
_cell_angle_beta 92.16
_cell_angle_gamma 90.00
loop_
_space_group_symop_operation_xyz
'x,y,z'
loop_
_atom_site_label
_atom_site_type_symbol
_atom_site_fract_x
_atom_site_fract_y
_atom_site_fract_z
Pm1 Pm 0.102 0.250 0.366
Pm2 Pm 0.265 0.250 0.065
Pm3 Pm 0.735 0.750 0.935
Pm4 Pm 0.898 0.750 0.634
Ho1 Ho 0.399 0.250 0.706
Ho2 Ho 0.601 0.750 0.294
Ga1 Ga 0.232 0.750 0.865
Ga2 Ga 0.360 0.750 0.516
Ga3 Ga 0.640 0.250 0.484
Ga4 Ga 0.768 0.250 0.135
# ΔE to the lowest computed polymorph = 0.155 eV per atom
# energy relative to the elements = -0.36 eV/atom

Record 5
# K2CaMg | the Alexandria database | PBE | optimized geometry
data_K2CaMg
_space_group_name_H-M_alt 'P 1'
_space_group_IT_number 1
_cell_length_a 14.142
_cell_length_b 14.142
_cell_length_c 14.142
_cell_angle_alpha 16.18
_cell_angle_beta 16.18
_cell_angle_gamma 16.18
loop_
_space_group_symop_operation_xyz
'x,y,z'
loop_
_atom_site_label
_atom_site_type_symbol
_atom_site_fract_x
_atom_site_fract_y
_atom_site_fract_z
K1 K 0.245 0.245 0.245
K2 K 0.755 0.755 0.755
Ca1 Ca 0.000 0.000 0.000
Mg1 Mg 0.500 0.500 0.500
# energy relative to the elements = 0.23 eV/atom

Record 6
# Ac2LaS4 | the Alexandria database | PBE | optimized geometry
data_Ac2LaS4
_space_group_name_H-M_alt 'P 1'
_space_group_IT_number 1
_cell_length_a 12.172
_cell_length_b 4.243
_cell_length_c 15.015
_cell_angle_alpha 90.00
_cell_angle_beta 90.00
_cell_angle_gamma 90.00
loop_
_space_group_symop_operation_xyz
'x,y,z'
loop_
_atom_site_label
_atom_site_type_symbol
_atom_site_fract_x
_atom_site_fract_y
_atom_site_fract_z
Ac1 Ac 0.066 0.250 0.107
Ac2 Ac 0.110 0.250 0.602
Ac3 Ac 0.390 0.750 0.102
Ac4 Ac 0.434 0.750 0.607
Ac5 Ac 0.566 0.250 0.393
Ac6 Ac 0.610 0.250 0.898
Ac7 Ac 0.890 0.750 0.398
Ac8 Ac 0.934 0.750 0.893
La1 La 0.241 0.750 0.354
La2 La 0.259 0.250 0.854
La3 La 0.741 0.750 0.146
La4 La 0.759 0.250 0.646
S1 S 0.031 0.250 0.791
S2 S 0.069 0.250 0.404
S3 S 0.165 0.750 0.984
S4 S 0.236 0.750 0.711
S5 S 0.264 0.250 0.211
S6 S 0.335 0.250 0.484
S7 S 0.431 0.750 0.904
S8 S 0.469 0.750 0.291
S9 S 0.531 0.250 0.709
S10 S 0.569 0.250 0.096
S11 S 0.665 0.750 0.516
S12 S 0.736 0.750 0.789
S13 S 0.764 0.250 0.289
S14 S 0.835 0.250 0.016
S15 S 0.931 0.750 0.596
S16 S 0.969 0.750 0.209
# ΔE to the lowest computed polymorph = 0.000 eV per atom
# raw formation energy = -14.7 eV per formula unit

> Number 5 is which compound?

K2CaMg